Entry 1:
# Rb2TbPrS4

An optimized crystal structure of Rb2TbPrS4 (PBE, the Alexandria database).

Unit cell a=7.240 b=4.178 c=8.082 alpha=90.00 beta=107.35 gamma=90.00
Positions (direct):
Rb 0.000 0.000 0.000
Rb 0.500 0.500 0.000
Tb 0.000 0.500 0.500
Pr 0.500 0.000 0.500
S 0.223 0.000 0.694
S 0.259 0.500 0.303
S 0.741 0.500 0.697
S 0.777 0.000 0.306

Properties
Space-group type = P2/m, No. 10
DFT total energy = -5.313 eV/atom
Total magnetization = 0.00 μB per cell
Calculated volume = 29.17 Å³ per atom


Entry 2:
# LiIn2SnH

An optimized crystal structure of LiIn2SnH (PBE, the Alexandria database).

Unit cell a=4.888 b=4.888 c=4.232 alpha=90.00 beta=90.00 gamma=90.00
Positions (direct):
Li 0.000 0.000 0.000
In 0.000 0.500 0.500
In 0.500 0.000 0.500
Sn 0.500 0.500 0.000
H 0.000 0.000 0.500

Properties
Space-group type = P4/mmm, No. 123
DFT total energy = -2.946 eV/atom
Total magnetization = 0.00 μB per cell
Calculated volume = 20.22 Å³ per atom


Entry 3:
# InSn2P2Pd7

An optimized crystal structure of InSn2P2Pd7 (PBE, the Alexandria database).

Unit cell a=4.090 b=4.090 c=12.791 alpha=97.01 beta=97.01 gamma=88.75
Positions (direct):
In 0.000 0.000 0.000
Sn 0.107 0.107 0.349
Sn 0.893 0.893 0.651
P 0.405 0.405 0.737
P 0.595 0.595 0.263
Pd 0.060 0.561 0.164
Pd 0.299 0.299 0.552
Pd 0.439 0.940 0.836
Pd 0.500 0.500 0.000
Pd 0.561 0.060 0.164
Pd 0.701 0.701 0.448
Pd 0.940 0.439 0.836

Properties
Space-group type = C2/m, No. 12
Formation enthalpy at 0 K = -0.380 eV per atom
Total magnetization = 0.00 μB per cell
Calculated volume = 17.57 Å³ per atom


Entry 4:
# Nd3Dy3ErS8

An optimized crystal structure of Nd3Dy3ErS8 (PBE, the Alexandria database).

Unit cell a=7.992 b=7.992 c=7.992 alpha=59.28 beta=59.28 gamma=59.28
Positions (direct):
Nd 0.000 0.500 0.500
Nd 0.500 0.000 0.500
Nd 0.500 0.500 0.000
Dy 0.000 0.000 0.500
Dy 0.000 0.500 0.000
Dy 0.500 0.000 0.000
Er 0.500 0.500 0.500
S 0.245 0.245 0.245
S 0.246 0.745 0.745
S 0.255 0.255 0.754
S 0.255 0.754 0.255
S 0.745 0.246 0.745
S 0.745 0.745 0.246
S 0.754 0.255 0.255
S 0.755 0.755 0.755

Properties
Space-group type = R-3m, No. 166
DFT total energy = -6.433 eV/atom
Total magnetization = 0.00 μB per cell
Calculated volume = 23.67 Å³ per atom


Entry 5:
# NdHoTmAg

An optimized crystal structure of NdHoTmAg (PBE, the Alexandria database).

Unit cell a=7.644 b=7.644 c=7.644 alpha=90.00 beta=90.00 gamma=90.00
Positions (direct):
Nd 0.000 0.000 0.000
Nd 0.000 0.500 0.500
Nd 0.500 0.000 0.500
Nd 0.500 0.500 0.000
Ho 0.000 0.000 0.500
Ho 0.000 0.500 0.000
Ho 0.500 0.000 0.000
Ho 0.500 0.500 0.500
Tm 0.250 0.250 0.250
Tm 0.250 0.750 0.750
Tm 0.750 0.250 0.750
Tm 0.750 0.750 0.250
Ag 0.250 0.250 0.750
Ag 0.250 0.750 0.250
Ag 0.750 0.250 0.250
Ag 0.750 0.750 0.750

Properties
Space-group type = F-43m, No. 216
Formation enthalpy at 0 K = 0.054 eV per atom
Offset from the most stable computed form = 190 meV per atom
Total magnetization = 0.00 μB per cell
Calculated volume = 27.92 Å³ per atom


Entry 6:
# PrZrPd

An optimized crystal structure of PrZrPd (PBE, the Alexandria database).

Unit cell a=3.496 b=3.496 c=11.943 alpha=90.00 beta=90.00 gamma=90.00
Positions (direct):
Pr 0.000 0.000 0.000
Pr 0.500 0.500 0.500
Zr 0.000 0.000 0.296
Zr 0.500 0.500 0.796
Pd 0.000 0.000 0.687
Pd 0.500 0.500 0.187

Properties
Space-group type = I4mm, No. 107
Formation enthalpy at 0 K = -0.353 eV per atom
Offset from the most stable computed form = 59 meV per atom
Total magnetization = 0.00 μB per cell
Calculated volume = 24.33 Å³ per atom